The following is a DFT calculation (GGA-PBEsol) of an optimized crystal structure of CaCo2GeTe.

Properties
E_form (uncorrected) = 1.53 eV/atom
M_tot = 2.463 μB per cell
Final energy = -3.681 eV/atom
Space-group type = P4/mmm

Unit cell a=4.547 b=4.547 c=5.592 alpha=90.00 beta=90.00 gamma=90.00
Element x y z (fractional)
Ca 0.000 0.000 0.000
Co 0.000 0.500 0.000
Co 0.500 0.000 0.000
Ge 0.500 0.500 0.500
Te 0.000 0.000 0.500

=====

The following is a DFT calculation (GGA-PBEsol) of an optimized crystal structure of ZrInCl2.

Properties
E_form (uncorrected) = -0.64 eV/atom
M_tot = 0.000 μB per cell
Final energy = -4.662 eV/atom
Space-group type = C2/m

Unit cell a=5.585 b=5.585 c=3.229 alpha=105.37 beta=105.37 gamma=112.02
Element x y z (fractional)
Zr 0.000 0.000 0.000
In 0.500 0.500 0.000
Cl 0.000 0.500 0.000
Cl 0.500 0.000 0.000

=====

The following is a DFT calculation (GGA-PBEsol) of an optimized crystal structure of CsSrSI2.

Properties
E_form (uncorrected) = 0.17 eV/atom
M_tot = 1.032 μB per cell
Final energy = -1.969 eV/atom
Space-group type = P4/mmm

Unit cell a=6.497 b=6.497 c=7.235 alpha=90.00 beta=90.00 gamma=90.00
Element x y z (fractional)
Cs 0.000 0.000 0.000
Sr 0.000 0.000 0.500
S 0.500 0.500 0.500
I 0.000 0.500 0.000
I 0.500 0.000 0.000

=====

The following is a DFT calculation (GGA-PBEsol) of an optimized crystal structure of B8O.

Properties
E_form (uncorrected) = -0.55 eV/atom
M_tot = 0.000 μB per cell
Final energy = -7.375 eV/atom
Space-group type = P2_1/m

Unit cell a=7.323 b=5.293 c=10.226 alpha=90.00 beta=92.34 gamma=90.00
Element x y z (fractional)
B 0.030 0.250 0.200
B 0.045 0.250 0.687
B 0.075 0.085 0.046
B 0.075 0.415 0.046
B 0.081 0.080 0.544
B 0.081 0.420 0.544
B 0.175 0.533 0.700
B 0.175 0.967 0.700
B 0.186 0.511 0.199
B 0.186 0.989 0.199
B 0.241 0.250 0.797
B 0.243 0.250 0.961
B 0.249 0.250 0.297
B 0.249 0.250 0.462
B 0.308 0.512 0.057
B 0.308 0.988 0.057
B 0.309 0.516 0.559
B 0.309 0.984 0.559
B 0.411 0.080 0.714
B 0.411 0.420 0.714
B 0.417 0.084 0.209
B 0.417 0.416 0.209
B 0.450 0.250 0.567
B 0.451 0.250 0.063
B 0.549 0.750 0.937
B 0.550 0.750 0.433
B 0.583 0.584 0.791
B 0.583 0.916 0.791
B 0.589 0.580 0.286
B 0.589 0.920 0.286
B 0.691 0.016 0.441
B 0.691 0.484 0.441
B 0.692 0.012 0.943
B 0.692 0.488 0.943
B 0.751 0.750 0.538
B 0.751 0.750 0.703
B 0.757 0.750 0.039
B 0.759 0.750 0.203
B 0.814 0.011 0.801
B 0.814 0.489 0.801
B 0.825 0.033 0.300
B 0.825 0.467 0.300
B 0.919 0.580 0.456
B 0.919 0.920 0.456
B 0.925 0.585 0.954
B 0.925 0.915 0.954
B 0.955 0.750 0.313
B 0.970 0.750 0.800
O 0.134 0.750 0.258
O 0.368 0.750 0.996
O 0.372 0.750 0.497
O 0.628 0.250 0.503
O 0.632 0.250 0.004
O 0.866 0.250 0.742